# 1
Here is a PBEsol-optimized structure of Mg2BeP from Alexandria. Energies are from SCAN.

Output
Its space-group type is No. 38.

abc: 3.527 5.107 5.107
angles: 43.94 90.00 90.00
Atoms (fractional coordinates):
Mg 0.000 0.000 0.000
Mg 0.500 0.301 0.301
Be 0.500 0.584 0.584
P 0.000 0.714 0.714



# 2
Here is a PBEsol-optimized structure of MgBeP2 from Alexandria. Energies are from SCAN.

Output
For the excess energy over the best structure of this formula in the dataset, the calculation gives 88 meV per atom. Its space-group type is No. 139.

abc: 4.496 4.496 4.496
angles: 126.64 126.64 78.84
Atoms (fractional coordinates):
Mg 0.000 0.000 0.000
Be 0.500 0.500 0.000
P 0.250 0.750 0.500
P 0.750 0.250 0.500



# 3
Here is a PBEsol-optimized structure of MgTiBeP2 from Alexandria. Energies are from SCAN.

Output
Its space-group type is No. 123.

abc: 4.271 4.271 4.198
angles: 90.00 90.00 90.00
Atoms (fractional coordinates):
Mg 0.000 0.000 0.000
Ti 0.500 0.500 0.000
Be 0.500 0.500 0.500
P 0.000 0.500 0.500
P 0.500 0.000 0.500



# 4
Here is a PBEsol-optimized structure of MgBePb2 from Alexandria. Energies are from SCAN.

Output
For the excess energy over the best structure of this formula in the dataset, the calculation gives 117 meV per atom. Its space-group type is No. 225.

abc: 5.031 5.031 5.031
angles: 60.00 60.00 60.00
Atoms (fractional coordinates):
Mg 0.000 0.000 0.000
Be 0.500 0.500 0.500
Pb 0.250 0.250 0.250
Pb 0.750 0.750 0.750



# 5
Here is a PBEsol-optimized structure of MgBePb2 from Alexandria. Energies are from SCAN.

Output
For the excess energy over the best structure of this formula in the dataset, the calculation gives 0 meV per atom. Its space-group type is No. 166.

abc: 7.307 7.307 7.307
angles: 31.21 31.21 31.21
Atoms (fractional coordinates):
Mg 0.000 0.000 0.000
Be 0.500 0.500 0.500
Pb 0.231 0.231 0.231
Pb 0.769 0.769 0.769



# 6
Here is a PBEsol-optimized structure of MgBePb2 from Alexandria. Energies are from SCAN.

Output
For the excess energy over the best structure of this formula in the dataset, the calculation gives 70 meV per atom. Its space-group type is No. 123.

abc: 3.360 3.360 8.002
angles: 90.00 90.00 90.00
Atoms (fractional coordinates):
Mg 0.000 0.000 0.000
Be 0.000 0.000 0.500
Pb 0.500 0.500 0.285
Pb 0.500 0.500 0.715



Asked for total energy across the records above, the calculation gives -25.93 -29.02 -44.53 -159.48 -159.95 -159.67 eV/cell in order.
Asked for E_form across the records above, the calculation gives -0.31 0.28 0.32 0.35 0.24 0.31 eV/atom in order.